{
  "formula": "Pr9SmHo2",
  "functional": "PBE",
  "state": "optimized geometry",
  "dos_at_fermi_per_ev_atom": 1.723,
  "spacegroup": "P4/mmm",
  "density_g_cm3": 6.9,
  "ef_ev_per_atom": 0.015,
  "cell": [[5.1951, 0.0000, 0.0000], [0.0000, 5.1951, 0.0000], [0.0000, 0.0000, 15.5905]],
  "species": ["Pr", "Pr", "Pr", "Pr", "Pr", "Pr", "Pr", "Pr", "Pr", "Sm", "Ho", "Ho"],
  "fractional_positions": [[0.0000, 0.0000, 0.0000], [0.0000, 0.0000, 0.3345], [0.0000, 0.0000, 0.6655], [0.0000, 0.5000, 0.1682], [0.0000, 0.5000, 0.5000], [0.0000, 0.5000, 0.8318], [0.5000, 0.0000, 0.1682], [0.5000, 0.0000, 0.5000], [0.5000, 0.0000, 0.8318], [0.5000, 0.5000, 0.0000], [0.5000, 0.5000, 0.3342], [0.5000, 0.5000, 0.6658]]
}

***

{
  "formula": "PrSm5Ho4",
  "functional": "PBE",
  "state": "optimized geometry",
  "e_above_lowest_polymorph_ev_per_atom": 0.273,
  "dos_at_fermi_per_ev_atom": 1.453,
  "spacegroup": "I4",
  "density_g_cm3": 7.7,
  "ef_ev_per_atom": 0.290,
  "cell": [[-5.1396, 5.1396, 3.1676], [5.1396, -5.1396, 3.1676], [5.1396, 5.1396, -3.1676]],
  "species": ["Pr", "Sm", "Sm", "Sm", "Sm", "Sm", "Ho", "Ho", "Ho", "Ho"],
  "fractional_positions": [[0.0000, 0.0000, 0.0000], [0.0363, 0.1226, 0.6179], [0.1226, 0.5047, 0.0863], [0.4184, 0.0363, 0.9137], [0.5047, 0.4184, 0.3821], [0.5420, 0.5420, 0.0000], [0.1172, 0.8172, 0.3984], [0.4188, 0.7189, 0.6016], [0.7189, 0.1172, 0.3001], [0.8172, 0.4188, 0.6999]]
}

***

{
  "formula": "Pr8Sm3Ho2",
  "functional": "PBE",
  "state": "optimized geometry",
  "e_above_lowest_polymorph_ev_per_atom": 0.000,
  "dos_at_fermi_per_ev_atom": 1.514,
  "spacegroup": "C2/m",
  "density_g_cm3": 6.9,
  "ef_ev_per_atom": 0.169,
  "cell": [[7.3981, -5.5908, 0.0000], [7.3981, 5.5908, 0.0000], [-1.9072, 0.0000, 5.5350]],
  "species": ["Pr", "Pr", "Pr", "Pr", "Pr", "Pr", "Pr", "Pr", "Sm", "Sm", "Sm", "Ho", "Ho"],
  "fractional_positions": [[0.0771, 0.0771, 0.2383], [0.1008, 0.5586, 0.8353], [0.3373, 0.3373, 0.3782], [0.4414, 0.8992, 0.1647], [0.5586, 0.1008, 0.8353], [0.6627, 0.6627, 0.6218], [0.8992, 0.4414, 0.1647], [0.9229, 0.9229, 0.7617], [0.2480, 0.7520, 0.5000], [0.5000, 0.5000, 0.0000], [0.7520, 0.2480, 0.5000], [0.1722, 0.1722, 0.8059], [0.8278, 0.8278, 0.1941]]
}

***

{
  "formula": "PrSm4Ho",
  "functional": "PBE",
  "state": "optimized geometry",
  "e_above_lowest_polymorph_ev_per_atom": 0.218,
  "dos_at_fermi_per_ev_atom": 1.469,
  "spacegroup": "Cmcm",
  "density_g_cm3": 7.3,
  "ef_ev_per_atom": 0.234,
  "cell": [[3.4422, -6.1514, 0.0000], [3.4422, 6.1514, 0.0000], [0.0000, 0.0000, 9.7382]],
  "species": ["Pr", "Pr", "Sm", "Sm", "Sm", "Sm", "Sm", "Sm", "Sm", "Sm", "Ho", "Ho"],
  "fractional_positions": [[0.1778, 0.8222, 0.7500], [0.8222, 0.1778, 0.2500], [0.1535, 0.3646, 0.7500], [0.3482, 0.6518, 0.0725], [0.3482, 0.6518, 0.4275], [0.3646, 0.1535, 0.2500], [0.6354, 0.8465, 0.7500], [0.6518, 0.3482, 0.5725], [0.6518, 0.3482, 0.9275], [0.8465, 0.6354, 0.2500], [0.0000, 0.0000, 0.0000], [0.0000, 0.0000, 0.5000]]
}

***

{
  "formula": "Pr8Sm3Ho4",
  "functional": "PBE",
  "state": "optimized geometry",
  "dos_at_fermi_per_ev_atom": 1.539,
  "spacegroup": "C2/m",
  "density_g_cm3": 7.1,
  "ef_ev_per_atom": 0.322,
  "cell": [[6.9686, -6.1671, 0.0000], [6.9686, 6.1671, 0.0000], [-3.2832, 0.0000, 6.1078]],
  "species": ["Pr", "Pr", "Pr", "Pr", "Pr", "Pr", "Pr", "Pr", "Sm", "Sm", "Sm", "Ho", "Ho", "Ho", "Ho"],
  "fractional_positions": [[0.2042, 0.2042, 0.1762], [0.2064, 0.7936, 0.0000], [0.2539, 0.7461, 0.5000], [0.2558, 0.2558, 0.7102], [0.7442, 0.7442, 0.2898], [0.7461, 0.2539, 0.5000], [0.7936, 0.2064, 0.0000], [0.7958, 0.7958, 0.8238], [0.0000, 0.0000, 0.5000], [0.0000, 0.5000, 0.0000], [0.5000, 0.0000, 0.0000], [0.0000, 0.5000, 0.5000], [0.5000, 0.0000, 0.5000], [0.5000, 0.5000, 0.0000], [0.5000, 0.5000, 0.5000]]
}

***

{
  "formula": "Pr5Sm6Ho2",
  "functional": "PBE",
  "state": "optimized geometry",
  "dos_at_fermi_per_ev_atom": 1.206,
  "spacegroup": "Pbam",
  "density_g_cm3": 7.1,
  "ef_ev_per_atom": 0.090,
  "cell": [[11.8080, 0.0000, 0.0000], [0.0000, 20.9375, 0.0000], [0.0000, 0.0000, 3.6541]],
  "species": ["Pr", "Pr", "Pr", "Pr", "Pr", "Pr", "Pr", "Pr", "Pr", "Pr", "Sm", "Sm", "Sm", "Sm", "Sm", "Sm", "Sm", "Sm", "Sm", "Sm", "Sm", "Sm", "Ho", "Ho", "Ho", "Ho"],
  "fractional_positions": [[0.0000, 0.0000, 0.0000], [0.0845, 0.2730, 0.0000], [0.1974, 0.5530, 0.0000], [0.3026, 0.0530, 0.0000], [0.4155, 0.7730, 0.0000], [0.5000, 0.5000, 0.0000], [0.5845, 0.2270, 0.0000], [0.6974, 0.9470, 0.0000], [0.8026, 0.4470, 0.0000], [0.9155, 0.7270, 0.0000], [0.0630, 0.4191, 0.5000], [0.0818, 0.1317, 0.5000], [0.1743, 0.8608, 0.0000], [0.3257, 0.3608, 0.0000], [0.4182, 0.6317, 0.5000], [0.4370, 0.9191, 0.5000], [0.5630, 0.0809, 0.5000], [0.5818, 0.3683, 0.5000], [0.6743, 0.6392, 0.0000], [0.8257, 0.1392, 0.0000], [0.9182, 0.8683, 0.5000], [0.9370, 0.5809, 0.5000], [0.1711, 0.7106, 0.5000], [0.3289, 0.2106, 0.5000], [0.6711, 0.7894, 0.5000], [0.8289, 0.2894, 0.5000]]
}

***

{
  "formula": "Pr5SmHo8",
  "functional": "PBE",
  "state": "optimized geometry",
  "dos_at_fermi_per_ev_atom": 1.450,
  "spacegroup": "I-4",
  "density_g_cm3": 7.6,
  "ef_ev_per_atom": 0.233,
  "cell": [[-4.8214, 4.8214, 5.0863], [4.8214, -4.8214, 5.0863], [4.8214, 4.8214, -5.0863]],
  "species": ["Pr", "Pr", "Pr", "Pr", "Pr", "Sm", "Ho", "Ho", "Ho", "Ho", "Ho", "Ho", "Ho", "Ho"],
  "fractional_positions": [[0.0000, 0.0000, 0.0000], [0.3099, 0.6348, 0.1040], [0.3652, 0.4692, 0.6750], [0.5308, 0.2058, 0.8960], [0.7942, 0.6901, 0.3250], [0.7500, 0.2500, 0.5000], [0.0249, 0.4221, 0.2544], [0.0711, 0.1606, 0.7377], [0.1677, 0.7705, 0.7456], [0.2295, 0.9751, 0.3972], [0.4229, 0.3334, 0.2623], [0.5779, 0.8323, 0.6028], [0.6666, 0.9289, 0.0895], [0.8394, 0.5771, 0.9105]]
}

***

{
  "formula": "Pr8SmHo2",
  "functional": "PBE",
  "state": "optimized geometry",
  "e_above_lowest_polymorph_ev_per_atom": 0.027,
  "dos_at_fermi_per_ev_atom": 1.377,
  "spacegroup": "C2/m",
  "density_g_cm3": 6.8,
  "ef_ev_per_atom": 0.133,
  "cell": [[4.6235, -8.3644, 0.0000], [4.6235, 8.3644, 0.0000], [-3.3672, 0.0000, 5.0493]],
  "species": ["Pr", "Pr", "Pr", "Pr", "Pr", "Pr", "Pr", "Pr", "Sm", "Ho", "Ho"],
  "fractional_positions": [[0.0982, 0.3363, 0.6804], [0.2055, 0.7945, 0.0000], [0.3363, 0.0982, 0.6804], [0.4221, 0.4221, 0.2043], [0.5779, 0.5779, 0.7957], [0.6637, 0.9018, 0.3196], [0.7945, 0.2055, 0.0000], [0.9018, 0.6637, 0.3196], [0.0000, 0.0000, 0.0000], [0.3100, 0.6900, 0.5000], [0.6900, 0.3100, 0.5000]]
}

***

{
  "formula": "PrSm6Ho4",
  "functional": "PBE",
  "state": "optimized geometry",
  "e_above_lowest_polymorph_ev_per_atom": 0.262,
  "dos_at_fermi_per_ev_atom": 1.384,
  "spacegroup": "I-42m",
  "density_g_cm3": 7.3,
  "ef_ev_per_atom": 0.380,
  "cell": [[-3.7955, 3.7955, 6.7223], [3.7955, -3.7955, 6.7223], [3.7955, 3.7955, -6.7223]],
  "species": ["Pr", "Sm", "Sm", "Sm", "Sm", "Sm", "Sm", "Ho", "Ho", "Ho", "Ho"],
  "fractional_positions": [[0.0000, 0.0000, 0.0000], [0.0000, 0.5000, 0.5000], [0.0458, 0.5790, 0.0000], [0.4210, 0.4210, 0.4668], [0.5000, 0.0000, 0.5000], [0.5790, 0.0458, 0.0000], [0.9542, 0.9542, 0.5332], [0.2579, 0.2579, 0.6748], [0.4169, 0.7421, 0.0000], [0.5831, 0.5831, 0.3252], [0.7421, 0.4169, 0.0000]]
}

***

{
  "formula": "PrSmHo3",
  "functional": "PBE",
  "state": "optimized geometry",
  "e_above_lowest_polymorph_ev_per_atom": 0.000,
  "dos_at_fermi_per_ev_atom": 1.334,
  "spacegroup": "P-1",
  "density_g_cm3": 7.9,
  "ef_ev_per_atom": 0.182,
  "cell": [[6.5134, 0.0000, 0.0000], [-3.2369, 5.6820, 0.0000], [-3.1137, -1.8336, 8.8863]],
  "species": ["Pr", "Pr", "Sm", "Sm", "Ho", "Ho", "Ho", "Ho", "Ho", "Ho"],
  "fractional_positions": [[0.0000, 0.0000, 0.0000], [0.0000, 0.5000, 0.5000], [0.2972, 0.4409, 0.3092], [0.7028, 0.5591, 0.6908], [0.1298, 0.1374, 0.6872], [0.3063, 0.6520, 0.9531], [0.4484, 0.0113, 0.3120], [0.5516, 0.9887, 0.6880], [0.6937, 0.3480, 0.0469], [0.8702, 0.8626, 0.3128]]
}

***

{
  "formula": "PrSm9Ho2",
  "functional": "PBE",
  "state": "optimized geometry",
  "e_above_lowest_polymorph_ev_per_atom": 0.000,
  "dos_at_fermi_per_ev_atom": 1.653,
  "spacegroup": "P4/mmm",
  "density_g_cm3": 7.5,
  "ef_ev_per_atom": 0.019,
  "cell": [[5.1132, 0.0000, 0.0000], [0.0000, 5.1132, 0.0000], [0.0000, 0.0000, 15.3466]],
  "species": ["Pr", "Sm", "Sm", "Sm", "Sm", "Sm", "Sm", "Sm", "Sm", "Sm", "Ho", "Ho"],
  "fractional_positions": [[0.0000, 0.0000, 0.0000], [0.0000, 0.5000, 0.1694], [0.0000, 0.5000, 0.5000], [0.0000, 0.5000, 0.8306], [0.5000, 0.0000, 0.1694], [0.5000, 0.0000, 0.5000], [0.5000, 0.0000, 0.8306], [0.5000, 0.5000, 0.0000], [0.5000, 0.5000, 0.3353], [0.5000, 0.5000, 0.6647], [0.0000, 0.0000, 0.3348], [0.0000, 0.0000, 0.6652]]
}

***

{
  "formula": "Pr12Sm5Ho2",
  "functional": "PBE",
  "state": "optimized geometry",
  "e_above_lowest_polymorph_ev_per_atom": 0.000,
  "dos_at_fermi_per_ev_atom": 1.425,
  "spacegroup": "C2/m",
  "density_g_cm3": 6.8,
  "ef_ev_per_atom": 0.120,
  "cell": [[7.7508, -5.3775, 0.0000], [7.7508, 5.3775, 0.0000], [-0.4971, 0.0000, 8.1223]],
  "species": ["Pr", "Pr", "Pr", "Pr", "Pr", "Pr", "Pr", "Pr", "Pr", "Pr", "Pr", "Pr", "Sm", "Sm", "Sm", "Sm", "Sm", "Ho", "Ho"],
  "fractional_positions": [[0.0530, 0.0530, 0.2113], [0.0889, 0.5401, 0.7074], [0.1191, 0.6679, 0.1136], [0.3321, 0.8809, 0.8864], [0.3699, 0.3699, 0.3973], [0.4599, 0.9111, 0.2926], [0.5401, 0.0889, 0.7074], [0.6301, 0.6301, 0.6027], [0.6679, 0.1191, 0.1136], [0.8809, 0.3321, 0.8864], [0.9111, 0.4599, 0.2926], [0.9470, 0.9470, 0.7887], [0.1567, 0.1567, 0.5906], [0.2583, 0.2583, 0.0179], [0.5000, 0.5000, 0.0000], [0.7417, 0.7417, 0.9821], [0.8433, 0.8433, 0.4094], [0.2311, 0.7689, 0.5000], [0.7689, 0.2311, 0.5000]]
}